No. 1
First-principles (PBE-GGA) data for Ba2SnBiAs after structural relaxation, as listed in Alexandria via LeMat-Bulk.

Cell lengths 7.950, 4.805, 11.392 Å; angles 90.00, 109.22, 90.00 degrees
Sites, in units of the cell vectors:
Ba1 0.232 0.250 0.386
Ba2 0.232 0.250 0.994
Ba3 0.768 0.750 0.006
Ba4 0.768 0.750 0.614
Sn1 0.486 0.250 0.792
Sn2 0.514 0.750 0.208
Bi1 0.293 0.750 0.645
Bi2 0.707 0.250 0.355
As1 0.168 0.750 0.182
As2 0.832 0.250 0.818

Summary:
As for the calculated volume: 41.09 A^3/atom. The calculation puts the formation energy at -0.778 eV/atom.

No. 2
First-principles (PBE-GGA) data for Ba3SrBi2As after structural relaxation, as listed in Alexandria via LeMat-Bulk.

Cell lengths 10.095, 10.095, 10.095 Å; angles 146.38, 145.22, 49.15 degrees
Sites, in units of the cell vectors:
Ba1 0.000 0.000 0.000
Ba2 0.323 0.823 0.500
Ba3 0.677 0.177 0.500
Sr1 0.500 0.500 0.000
Bi1 0.130 0.630 0.500
Bi2 0.870 0.370 0.500
As1 0.500 0.000 0.500

Summary:
As for the calculated volume: 46.21 A^3/atom. The calculation puts the formation energy at -0.837 eV/atom.

No. 3
First-principles (PBE-GGA) data for Ba2SrBiAs after structural relaxation, as listed in Alexandria via LeMat-Bulk.

Cell lengths 6.250, 6.250, 5.889 Å; angles 90.00, 90.00, 90.00 degrees
Sites, in units of the cell vectors:
Ba1 0.000 0.500 0.000
Ba2 0.500 0.000 0.000
Sr1 0.000 0.000 0.500
Bi1 0.500 0.500 0.500
As1 0.000 0.000 0.000

Summary:
As for the calculated volume: 46.01 A^3/atom. The calculation puts the formation energy at -0.841 eV/atom.